Record 1
VASP calculation (PBE) on a geometry-optimized TiTlSN2 structure.

Symmetry   P4/mmm

The structure in extended XYZ format:
```
5
Lattice="-3.008 2.303 1.038 -1.994 -3.155 1.223 2.096 0.554 4.847" Properties=species:S:1:pos:R:3 pbc="T T T"
Tl -1.453 -0.149 3.554
N -0.997 -1.578 0.611
N -1.504 1.151 0.519
S 1.048 0.277 2.424
Ti 0.000 0.000 0.000
```

Record 2
VASP calculation (PBE) on a geometry-optimized TiZnSN2 structure.

Symmetry   P4/mmm

The structure in extended XYZ format:
```
5
Lattice="3.791 0.000 0.000 0.000 3.791 0.000 0.000 0.000 5.356" Properties=species:S:1:pos:R:3 pbc="T T T"
Zn 1.895 1.895 2.678
N 0.000 1.895 0.000
N 1.895 0.000 0.000
S 0.000 0.000 2.678
Ti 0.000 0.000 0.000
```

Record 3
VASP calculation (PBE) on a geometry-optimized TiZnSN2 structure.

Symmetry   P4/mmm

The structure in extended XYZ format:
```
5
Lattice="-2.647 -2.232 -1.441 2.651 -2.349 -1.232 -0.224 -2.491 4.268" Properties=species:S:1:pos:R:3 pbc="T T T"
Zn 0.000 0.000 0.000
N 1.326 -1.175 -0.616
N -1.324 -1.116 -0.721
S -0.112 -1.245 2.134
Ti -0.110 -3.536 0.797
```

Record 4
VASP calculation (PBE) on a geometry-optimized ZrTiS2N structure.

Symmetry   P4/mmm

The structure in extended XYZ format:
```
5
Lattice="-2.469 -3.781 -2.205 4.351 -1.842 -1.714 0.386 -2.208 3.354" Properties=species:S:1:pos:R:3 pbc="T T T"
S 2.175 -0.921 -0.857
S -1.235 -1.891 -1.103
N 0.193 -1.104 1.677
Zr 0.000 0.000 0.000
Ti 1.134 -3.916 -0.283
```

Record 5
VASP calculation (PBE) on a geometry-optimized ZrTiS2N structure.

Symmetry   P4/mmm

The structure in extended XYZ format:
```
5
Lattice="4.739 0.000 0.000 0.000 4.739 0.000 0.000 0.000 3.732" Properties=species:S:1:pos:R:3 pbc="T T T"
S 0.000 2.369 0.000
S 2.369 0.000 0.000
N 0.000 0.000 1.866
Zr 2.369 2.369 1.866
Ti 0.000 0.000 0.000
```

Record 6
VASP calculation (PBE) on a geometry-optimized TlS2N2 structure.

Symmetry   P-1

The structure in extended XYZ format:
```
5
Lattice="3.752 0.970 1.639 4.685 10.122 -0.796 0.901 -1.041 4.061" Properties=species:S:1:pos:R:3 pbc="T T T"
Tl 0.000 0.000 0.000
S 3.332 4.532 0.375
S 6.006 5.519 4.529
N 4.793 2.151 3.965
N 4.545 7.900 0.939
```

Record 7
VASP calculation (PBE) on a geometry-optimized TlS2N2 structure.

Symmetry   P4/mmm

The structure in extended XYZ format:
```
5
Lattice="4.275 0.000 0.000 0.000 4.275 0.000 0.000 0.000 5.703" Properties=species:S:1:pos:R:3 pbc="T T T"
Tl 0.000 0.000 0.000
S 2.137 2.137 2.851
S 0.000 0.000 2.851
N 0.000 2.137 0.000
N 2.137 0.000 0.000
```

Record 8
VASP calculation (PBE) on a geometry-optimized TlSN2 structure.

Symmetry   I-42d

The structure in extended XYZ format:
```
8
Lattice="-0.790 -1.139 4.528 3.076 -3.582 -0.365 5.252 1.009 3.646" Properties=species:S:1:pos:R:3 pbc="T T T"
Tl 0.000 0.000 0.000
Tl 2.803 -1.245 5.128
S 1.143 -2.361 2.082
S 4.736 -2.467 2.681
N 1.261 -0.826 3.371
N 3.080 -2.211 1.575
N 5.018 -1.271 4.270
N 5.719 -3.117 6.404
```

Formation energy from raw total energies, respectively: 164 215 1005 -216 -611 556 2175 1357 meV per atom.
DOS(E_F), respectively: 0.634 0.522 0.738 0.950 0.642 0.360 0.473 0.158 states/eV/atom.
Energy above the most stable polymorph in this dataset, respectively: 0 0 790 395 0 0 1619 424 meV per atom.